1.
NbZnGa3, relaxed, DFT PBE; ΔH_f (0 K) = 0.803 eV per atom; space-group type = Pm-3m, No. 221
1.0
4.665 0.000 0.000
0.000 4.665 0.000
0.000 0.000 4.665
Nb Zn Ga
1 1 3
Direct
0.000 0.000 0.000
0.500 0.500 0.500
0.000 0.500 0.500
0.500 0.000 0.500
0.500 0.500 0.000

---

2.
YTmZn4, relaxed, DFT PBE; E above lowest polymorph = 0.049 eV per atom; ΔH_f (0 K) = -0.335 eV per atom; space-group type = F-43m, No. 216
1.0
0.000 3.848 3.848
3.848 0.000 3.848
3.848 3.848 0.000
Y Tm Zn
1 1 4
Direct
0.000 0.000 0.000
0.250 0.250 0.250
0.125 0.625 0.625
0.625 0.125 0.625
0.625 0.625 0.125
0.625 0.625 0.625

---

3.
SnSb3Te6, relaxed, DFT PBE; space-group type = P2_1/m, No. 11; formation energy from raw total energies = -1.2 eV/f.u.
1.0
10.422 0.000 0.000
0.000 4.283 0.000
-1.669 0.000 15.632
Sn Sb Te
2 6 12
Direct
0.144 0.250 0.442
0.856 0.750 0.558
0.070 0.750 0.788
0.358 0.250 0.932
0.463 0.750 0.367
0.537 0.250 0.633
0.642 0.750 0.068
0.930 0.250 0.212
0.049 0.250 0.624
0.050 0.250 0.915
0.294 0.250 0.284
0.342 0.750 0.524
0.344 0.750 0.784
0.356 0.750 0.068
0.644 0.250 0.932
0.656 0.250 0.216
0.658 0.250 0.476
0.706 0.750 0.716
0.950 0.750 0.085
0.951 0.750 0.376

---

4.
Si2SnH, relaxed, DFT PBE; E above lowest polymorph = 0.000 eV per atom; space-group type = I-42d, No. 122
1.0
-2.307 2.307 6.479
2.307 -2.307 6.479
2.307 2.307 -6.479
Si Sn H
4 2 2
Direct
0.375 0.221 0.346
0.779 0.125 0.154
0.875 0.029 0.654
0.971 0.625 0.846
0.250 0.750 0.500
0.500 0.500 0.000
0.000 0.000 0.000
0.750 0.250 0.500

---

5.
Sr2Ga2Sn, relaxed, DFT PBE; E above lowest polymorph = 0.000 eV per atom; ΔH_f (0 K) = -0.477 eV per atom; space-group type = C2/m, No. 12
1.0
5.784 -2.478 0.000
5.784 2.478 0.000
-5.355 0.000 10.109
Sr Ga Sn
4 4 2
Direct
0.002 0.002 0.324
0.186 0.186 0.105
0.814 0.814 0.895
0.998 0.998 0.676
0.364 0.364 0.450
0.476 0.476 0.104
0.524 0.524 0.896
0.636 0.636 0.550
0.284 0.284 0.656
0.716 0.716 0.344

---

6.
La6Cd2N, relaxed, DFT PBE; space-group type = P2_1/c, No. 14; formation energy from raw total energies = -3.9 eV/f.u.
1.0
7.337 0.000 0.000
0.000 7.315 0.000
-7.319 0.000 10.271
La Cd N
12 4 2
Direct
0.200 0.001 0.259
0.200 0.499 0.759
0.286 0.241 0.528
0.286 0.259 0.028
0.287 0.742 0.028
0.287 0.758 0.528
0.713 0.242 0.472
0.713 0.258 0.972
0.714 0.741 0.972
0.714 0.759 0.472
0.800 0.501 0.241
0.800 0.999 0.741
0.255 0.501 0.252
0.255 0.999 0.752
0.745 0.001 0.248
0.745 0.499 0.748
0.500 0.000 0.500
0.500 0.500 0.000

---

7.
NaNdScTl, relaxed, DFT PBE; ΔH_f (0 K) = -0.035 eV per atom; space-group type = F-43m, No. 216
1.0
0.000 3.786 3.786
3.786 0.000 3.786
3.786 3.786 0.000
Na Nd Sc Tl
1 1 1 1
Direct
0.000 0.000 0.000
0.750 0.750 0.750
0.250 0.250 0.250
0.500 0.500 0.500

---

8.
Nd7Sm12Th, relaxed, DFT PBE; E above lowest polymorph = 0.408 eV per atom; ΔH_f (0 K) = 0.640 eV per atom; space-group type = Im-3m, No. 229
1.0
-5.769 5.769 5.769
5.769 -5.769 5.769
5.769 5.769 -5.769
Nd Sm Th
7 12 1
Direct
0.000 0.000 0.500
0.000 0.500 0.000
0.000 0.500 0.500
0.500 0.000 0.000
0.500 0.000 0.500
0.500 0.500 0.000
0.500 0.500 0.500
0.000 0.240 0.760
0.000 0.760 0.240
0.240 0.000 0.760
0.240 0.240 0.480
0.240 0.480 0.240
0.240 0.760 0.000
0.480 0.240 0.240
0.520 0.760 0.760
0.760 0.000 0.240
0.760 0.240 0.000
0.760 0.520 0.760
0.760 0.760 0.520
0.000 0.000 0.000

---

9.
SiNiTe2, relaxed, DFT PBE; space-group type = Pmmm, No. 47; formation energy from raw total energies = 1.8 eV/f.u.
1.0
3.358 0.000 0.000
0.000 3.414 0.000
0.000 0.000 7.008
Si Ni Te
1 1 2
Direct
0.000 0.000 0.000
0.000 0.000 0.500
0.500 0.500 0.272
0.500 0.500 0.728

---

10.
TmScIrRh, relaxed, DFT PBE; ΔH_f (0 K) = -0.980 eV per atom; space-group type = F-43m, No. 216
1.0
0.000 3.307 3.307
3.307 0.000 3.307
3.307 3.307 0.000
Tm Sc Ir Rh
1 1 1 1
Direct
0.000 0.000 0.000
0.500 0.500 0.500
0.750 0.750 0.750
0.250 0.250 0.250

---

11.
TlZnI2O, relaxed, DFT PBE; E above lowest polymorph = 0.000 eV per atom; space-group type = P4/mmm, No. 123; formation energy from raw total energies = -2.2 eV/f.u.
1.0
6.580 0.000 0.000
0.000 6.580 0.000
0.000 0.000 3.539
Tl Zn I O
1 1 2 1
Direct
0.000 0.000 0.000
0.500 0.500 0.500
0.000 0.500 0.500
0.500 0.000 0.500
0.500 0.500 0.000

---

12.
Sc6Ni5Hg, relaxed, DFT PBE; ΔH_f (0 K) = -0.448 eV per atom; space-group type = P2/m, No. 10
1.0
4.555 0.000 0.000
0.000 6.553 0.000
-2.221 0.000 6.825
Sc Ni Hg
6 5 1
Direct
0.000 0.233 0.000
0.000 0.767 0.000
0.326 0.242 0.654
0.326 0.758 0.654
0.674 0.242 0.346
0.674 0.758 0.346
0.167 0.000 0.327
0.169 0.500 0.339
0.500 0.000 0.000
0.831 0.500 0.661
0.833 0.000 0.673
0.500 0.500 0.000

---

13.
BaTmTlCd, relaxed, DFT PBE; ΔH_f (0 K) = -0.214 eV per atom; space-group type = F-43m, No. 216
1.0
0.000 4.011 4.011
4.011 0.000 4.011
4.011 4.011 0.000
Ba Tm Tl Cd
1 1 1 1
Direct
0.000 0.000 0.000
0.500 0.500 0.500
0.250 0.250 0.250
0.750 0.750 0.750

---

Result set for total moment: 1.93; 0.00; 0.00; 0.00; 0.00; 0.00; 0.08; 0.00; 0.00; 0.00; 0.22; 0.00; 0.00 μB per cell, one per record in the order listed.